[1]
Material: As2IrAu
Method: DFT, PBE
State: optimized geometry

Lattice parameters (Å, degrees): 6.171 6.986 3.166 90.00 90.00 90.00
Space group Cmmm (No. 65)
Inequivalent atoms, fractional coordinates:
As (0.250, 0.250, 0.000) x4
Ir (0.000, 0.000, 0.500) x2
Au (0.000, 0.500, 0.500) x2

Output
Excess energy over the best structure of this formula in the dataset   369 meV per atom
Fermi-level density of states   2.00 states/eV/f.u.
Magnetization   0.00 μB/cell
Energy of formation from the pure elements   0.3170 eV/atom
V   17.1 A^3/atom

=====

[2]
Material: ZnFe2CoTe
Method: DFT, PBE
State: optimized geometry

Lattice parameters (Å, degrees): 4.724 4.724 4.631 90.00 90.00 90.00
Space group P4/mmm (No. 123)
Inequivalent atoms, fractional coordinates:
Zn (0.000, 0.000, 0.000) x1
Fe (0.000, 0.500, 0.500) x2
Co (0.500, 0.500, 0.000) x1
Te (0.500, 0.500, 0.500) x1

Output
Fermi-level density of states   3.79 states/eV/f.u.
Formation energy without anion corrections   1.1365 eV/atom
Magnetization   6.23 μB/cell
V   20.7 A^3/atom

=====

[3]
Material: NbH3Pb
Method: DFT, PBE
State: optimized geometry

Lattice parameters (Å, degrees): 3.832 3.832 3.832 90.00 90.00 90.00
Space group Pm-3m (No. 221)
Inequivalent atoms, fractional coordinates:
Nb (0.000, 0.000, 0.000) x1
H (0.000, 0.000, 0.500) x3
Pb (0.500, 0.500, 0.500) x1

Output
Excess energy over the best structure of this formula in the dataset   0 meV per atom
Fermi-level density of states   1.91 states/eV/f.u.
Magnetization   0.00 μB/cell
V   11.3 A^3/atom

=====

Question: Among the records above, which one has the lowest V?
Answer: NbH3Pb